DFT (GGA-PBE) results for an optimized crystal structure of CaLaTl.

Cell lengths 7.6385, 4.6658, 10.6077 Å; angles 90.00, 90.00, 90.00 degrees
Positions (direct):
Tl  0.8655  0.2500  0.7457
Tl  0.6345  0.7500  0.2457
Tl  0.1345  0.7500  0.2543
Tl  0.3655  0.2500  0.7543
Ca  0.8806  0.2500  0.3976
Ca  0.6194  0.7500  0.8976
Ca  0.1194  0.7500  0.6024
Ca  0.3806  0.2500  0.1024
La  0.3810  0.2500  0.4211
La  0.1190  0.7500  0.9211
La  0.6190  0.7500  0.5789
La  0.8810  0.2500  0.0789

Properties
As for the energy relative to the lowest polymorph listed for this composition: 0.521 eV per formula unit. As for the energy relative to the elements: -0.2247 eV/atom. As for the space-group type: Pnma. Its crystal system is orthorhombic. The electronic total energy is -39.9 eV/cell.